(1)
GGA-PBEsol K2PCl, relaxed; ΔE to the lowest computed polymorph = 0.244 eV per atom; density = 2.09 g/cm³; raw formation energy = -507 meV/atom
1.0
5.235 0.000 0.000
-2.617 4.937 0.067
0.000 -2.869 4.416
Cl K P
1 2 1
Direct
0.000 0.000 0.500 Cl
0.749 0.499 0.749 K
0.251 0.501 0.251 K
0.500 0.000 0.000 P

(2)
GGA-PBEsol KP2Cl, relaxed; ΔE to the lowest computed polymorph = 0.035 eV per atom; density = 2.12 g/cm³; raw formation energy = -505 meV/atom
1.0
4.760 -0.001 0.000
-0.007 3.377 0.000
0.000 0.000 6.658
Cl K P
1 1 2
Direct
0.000 0.500 0.500 Cl
0.500 0.000 0.500 K
0.140 0.242 0.000 P
0.860 0.758 0.000 P

(3)
GGA-PBEsol K2PCl, relaxed; ΔE to the lowest computed polymorph = 0.262 eV per atom; density = 1.69 g/cm³; raw formation energy = -489 meV/atom
1.0
7.168 0.096 0.161
-2.474 6.729 -0.161
-2.474 -3.325 5.852
P K Cl
2 4 2
Direct
0.500 0.250 0.750 P
0.000 0.500 0.500 P
0.026 0.651 0.125 K
0.974 0.099 0.625 K
0.526 0.875 0.901 K
0.474 0.375 0.349 K
0.500 0.750 0.250 Cl
0.000 0.000 0.000 Cl

(4)
GGA-PBEsol K2PCl, relaxed; ΔE to the lowest computed polymorph = 0.000 eV per atom; density = 2.39 g/cm³; raw formation energy = -751 meV/atom
1.0
-2.239 -2.146 1.424
2.425 -2.392 0.208
2.191 2.902 7.818
Cl K P
1 2 1
Direct
0.500 0.500 0.000 Cl
0.000 0.000 0.224 K
0.000 0.000 0.776 K
0.500 0.500 0.500 P

(5)
GGA-PBEsol KP2Cl, relaxed; ΔE to the lowest computed polymorph = 0.000 eV per atom; density = 2.60 g/cm³; raw formation energy = -540 meV/atom
1.0
3.585 0.000 0.000
1.792 3.104 0.000
1.792 1.035 7.841
Cl K P
1 1 2
Direct
0.494 0.494 0.519 Cl
0.246 0.246 0.263 K
0.022 0.022 0.933 P
0.738 0.738 0.785 P

(6)
GGA-PBEsol KP2Cl, relaxed; ΔE to the lowest computed polymorph = 0.743 eV per atom; density = 2.81 g/cm³; raw formation energy = 203 meV/atom
1.0
4.851 0.000 0.000
2.426 4.201 0.000
2.426 1.400 3.961
Cl K P
1 1 2
Direct
0.500 0.500 0.500 Cl
0.250 0.250 0.250 K
0.000 0.000 0.000 P
0.750 0.750 0.750 P

(7)
GGA-PBEsol KPCl2, relaxed; density = 2.82 g/cm³; raw formation energy = -363 meV/atom
1.0
3.321 0.000 0.000
0.000 4.996 0.000
0.000 0.000 4.996
Cl K P
2 1 1
Direct
0.000 0.000 0.500 Cl
0.000 0.500 0.000 Cl
0.500 0.500 0.500 K
0.500 0.000 0.000 P

(8)
GGA-PBEsol KP2PtCl, relaxed; density = 3.79 g/cm³; raw formation energy = -178 meV/atom
1.0
-0.385 3.023 3.227
0.303 -3.214 3.047
7.330 0.806 0.120
P K Pt Cl
2 1 1 1
Direct
0.000 0.500 0.000 P
0.500 0.000 0.000 P
0.500 0.500 0.500 K
0.000 0.000 0.000 Pt
0.000 0.000 0.500 Cl